(1)
Crystalline EuGdTl4 at its relaxed geometry. Source: the Alexandria database, functional PBE-GGA.

Cell: 6.318 6.318 6.318 Å, 60.00 60.00 60.00°
Site moments in Bohr magnetons follow the coordinates.
Sites, in units of the cell vectors:
Eu (0.250, 0.250, 0.250)  6.95
Tl (0.625, 0.625, 0.124)  0.01
Tl (0.625, 0.124, 0.625)  0.01
Tl (0.625, 0.625, 0.625)  0.01
Tl (0.124, 0.625, 0.625)  0.01
Gd (0.000, 0.000, 0.000)  7.21

Summary:
As for the space-group type: No. 216. For the total moment, the calculation gives 15.10 μB/cell.

(2)
Crystalline EuGdTl2 at its relaxed geometry. Source: the Alexandria database, functional PBE-GGA.

Cell: 3.896 3.896 7.821 Å, 90.00 90.00 90.00°
Site moments in Bohr magnetons follow the coordinates.
Sites, in units of the cell vectors:
Eu (0.500, 0.500, 0.500)  6.88
Tl (0.000, 0.000, 0.763)  0.00
Tl (0.000, 0.000, 0.237)  0.00
Gd (0.500, 0.500, 0.000)  7.15

Summary:
As for the space-group type: No. 123. For the total moment, the calculation gives 14.58 μB/cell. For the offset from the most stable computed form, the calculation gives 0.000 eV per atom.

Number 1: density 10492 kg/m3, ΔE_f -155.5 meV/atom. Number 2: density 10042 kg/m3, ΔE_f -412.2 meV/atom.